(1)
Compound: Y4PS2N
Source: the Alexandria database
Functional: GGA-PBE
Structure: relaxed

abc: 6.6332 3.8110 6.7401
angles: 90.00 108.94 90.00
Space group P2/m (No. 10)
Unique sites:
Y: 0.2222 0.0000 0.2177 x2
Y: 0.2364 0.5000 0.7727 x2
P: 0.5000 0.0000 0.0000 x1
S: 0.0000 0.0000 0.5000 x1
S: 0.5000 0.5000 0.5000 x1
N: 0.0000 0.5000 0.0000 x1

Values from the calculation:
Uncorrected formation energy in eV per atom: -1.804
Electronic total energy in eV/cell: -62.3

(2)
Compound: Cs2PuTaO6
Source: the Alexandria database
Functional: GGA-PBE
Structure: relaxed

abc: 8.5389 8.5389 8.5389
angles: 90.00 90.00 90.00
Space group Fm-3m (No. 225)
Unique sites:
Cs: 0.2500 0.2500 0.2500 x8
Pu: 0.0000 0.0000 0.0000 x4
Ta: 0.0000 0.0000 0.5000 x4
O: 0.0000 0.0000 0.2601 x24

Values from the calculation:
Uncorrected formation energy in eV per atom: -2.399
Electronic total energy in eV/cell: -326.5

(3)
Compound: LiNdZnPt3
Source: the Alexandria database
Functional: GGA-PBE
Structure: relaxed

abc: 5.8001 12.8239 5.7820
angles: 90.00 90.00 90.00
Space group Cmcm (No. 63)
Unique sites:
Li: 0.0000 0.1109 0.2500 x4
Nd: 0.0000 0.3272 0.2500 x4
Zn: 0.0000 0.3727 0.7500 x4
Pt: 0.0000 0.1740 0.7500 x4
Pt: 0.2451 0.0000 0.0000 x8

Values from the calculation:
Electronic total energy in eV/cell: -119.1

Number 1: ρ 4.8 g/cm3. Number 2: ρ 8.4 g/cm3. Number 3: ρ 12.4 g/cm3.